Record 1
# PBE NiPt3Cl, relaxed
data_NiPt3Cl
_chemical_formula_sum 'Ni1 Pt3 Cl1'
_space_group_name_H-M_alt 'P m -3 m'
_space_group_IT_number 221
_space_group_name_Hall '-P 4 2 3'
_cell_length_a 4.4968
_cell_length_b 4.4968
_cell_length_c 4.4968
_cell_angle_alpha 90.00
_cell_angle_beta 90.00
_cell_angle_gamma 90.00
loop_
_atom_site_label
_atom_site_type_symbol
_atom_site_fract_x
_atom_site_fract_y
_atom_site_fract_z
Ni1 Ni 0.0000 0.0000 0.0000
Pt1 Pt 0.0000 0.5000 0.5000
Cl1 Cl 0.5000 0.5000 0.5000
# energy above the most stable polymorph in this dataset	32.4	meV per atom
# DFT total energy	-3.942	eV/atom
# formation energy without anion corrections	1208	meV per atom

---

Record 2
# PBE Ni2PtCl, relaxed
data_Ni2PtCl
_chemical_formula_sum 'Ni2 Pt1 Cl1'
_space_group_name_H-M_alt 'P 4 m m'
_space_group_IT_number 99
_cell_length_a 3.0128
_cell_length_b 3.0128
_cell_length_c 6.6348
_cell_angle_alpha 90.00
_cell_angle_beta 90.00
_cell_angle_gamma 90.00
loop_
_space_group_symop_operation_xyz
'x,y,z'
'-y,x,z'
'-x,-y,z'
'y,-x,z'
'-x,y,z'
'y,x,z'
'x,-y,z'
'-y,-x,z'
loop_
_atom_site_label
_atom_site_type_symbol
_atom_site_fract_x
_atom_site_fract_y
_atom_site_fract_z
Ni1 Ni 0.0000 0.0000 0.0000
Ni2 Ni 0.5000 0.5000 0.1916
Pt1 Pt 0.0000 0.0000 0.4024
Cl1 Cl 0.5000 0.5000 0.7927
# energy above the most stable polymorph in this dataset	207.5	meV per atom
# DFT total energy	-4.607	eV/atom
# formation energy without anion corrections	256	meV per atom

---

Record 3
# PBE NiPt2Cl, relaxed
data_NiPt2Cl
_chemical_formula_sum 'Ni2 Pt4 Cl2'
_space_group_name_H-M_alt 'C 1 m 1'
_space_group_IT_number 8
_cell_length_a 8.7949
_cell_length_b 2.8619
_cell_length_c 6.2693
_cell_angle_alpha 90.00
_cell_angle_beta 94.80
_cell_angle_gamma 90.00
loop_
_space_group_symop_operation_xyz
'x,y,z'
'x,-y,z'
'x+1/2,y+1/2,z'
'x+1/2,-y+1/2,z'
loop_
_atom_site_label
_atom_site_type_symbol
_atom_site_fract_x
_atom_site_fract_y
_atom_site_fract_z
Ni1 Ni 0.0000 0.0000 0.0000
Pt1 Pt 0.2340 0.5000 0.1798
Pt2 Pt 0.4725 0.0000 0.3332
Cl1 Cl 0.4731 0.0000 0.7257
# energy above the most stable polymorph in this dataset	27.6	meV per atom
# DFT total energy	-4.755	eV/atom
# formation energy without anion corrections	173	meV per atom

---

Record 4
# PBE NiPt2Cl, relaxed
data_NiPt2Cl
_chemical_formula_sum 'Ni2 Pt4 Cl2'
_space_group_name_H-M_alt 'C 1 2/m 1'
_space_group_IT_number 12
_cell_length_a 5.3976
_cell_length_b 9.5331
_cell_length_c 2.8523
_cell_angle_alpha 90.00
_cell_angle_beta 121.58
_cell_angle_gamma 90.00
loop_
_space_group_symop_operation_xyz
'x,y,z'
'-x,-y,-z'
'-x,y,-z'
'x,-y,z'
'x+1/2,y+1/2,z'
'-x+1/2,-y+1/2,-z'
'-x+1/2,y+1/2,-z'
'x+1/2,-y+1/2,z'
loop_
_atom_site_label
_atom_site_type_symbol
_atom_site_fract_x
_atom_site_fract_y
_atom_site_fract_z
Ni1 Ni 0.0000 0.0000 0.0000
Pt1 Pt 0.2500 0.2500 0.0000
Cl1 Cl 0.0000 0.5000 0.0000
# energy above the most stable polymorph in this dataset	326.6	meV per atom
# DFT total energy	-4.456	eV/atom
# formation energy without anion corrections	472	meV per atom

---

Record 5
# PBE Ni2PtCl, relaxed
data_Ni2PtCl
_chemical_formula_sum 'Ni8 Pt4 Cl4'
_space_group_name_H-M_alt 'F m -3 m'
_space_group_IT_number 225
_space_group_name_Hall '-F 4 2 3'
_cell_length_a 6.1069
_cell_length_b 6.1069
_cell_length_c 6.1069
_cell_angle_alpha 90.00
_cell_angle_beta 90.00
_cell_angle_gamma 90.00
loop_
_atom_site_label
_atom_site_type_symbol
_atom_site_fract_x
_atom_site_fract_y
_atom_site_fract_z
Ni1 Ni 0.2500 0.2500 0.2500
Pt1 Pt 0.0000 0.0000 0.0000
Cl1 Cl 0.0000 0.0000 0.5000
# energy above the most stable polymorph in this dataset	483.9	meV per atom
# DFT total energy	-4.331	eV/atom
# formation energy without anion corrections	532	meV per atom

---

Record 6
# PBE Ni2PtCl, relaxed
data_Ni2PtCl
_chemical_formula_sum 'Ni8 Pt4 Cl4'
_space_group_name_H-M_alt 'I -4 2 d'
_space_group_IT_number 122
_space_group_name_Hall 'I -4 2bw'
_cell_length_a 6.1755
_cell_length_b 6.1755
_cell_length_c 6.7630
_cell_angle_alpha 90.00
_cell_angle_beta 90.00
_cell_angle_gamma 90.00
loop_
_atom_site_label
_atom_site_type_symbol
_atom_site_fract_x
_atom_site_fract_y
_atom_site_fract_z
Ni1 Ni 0.2236 0.2500 0.1250
Pt1 Pt 0.0000 0.0000 0.5000
Cl1 Cl 0.0000 0.0000 0.0000
# energy above the most stable polymorph in this dataset	417.9	meV per atom
# DFT total energy	-4.397	eV/atom
# formation energy without anion corrections	466	meV per atom

---

Record 7
# PBE NiPt2Cl, relaxed
data_NiPt2Cl
_chemical_formula_sum 'Ni1 Pt2 Cl1'
_space_group_name_H-M_alt 'P 4/m m m'
_space_group_IT_number 123
_space_group_name_Hall '-P 4 2'
_cell_length_a 2.9698
_cell_length_b 2.9698
_cell_length_c 7.1077
_cell_angle_alpha 90.00
_cell_angle_beta 90.00
_cell_angle_gamma 90.00
loop_
_atom_site_label
_atom_site_type_symbol
_atom_site_fract_x
_atom_site_fract_y
_atom_site_fract_z
Ni1 Ni 0.0000 0.0000 0.0000
Pt1 Pt 0.5000 0.5000 0.2101
Cl1 Cl 0.0000 0.0000 0.5000
# energy above the most stable polymorph in this dataset	170.3	meV per atom
# DFT total energy	-4.612	eV/atom
# formation energy without anion corrections	315	meV per atom

---

Record 8
# PBE Ni2PtCl6, relaxed
data_Ni2PtCl6
_chemical_formula_sum 'Ni4 Pt2 Cl12'
_space_group_name_H-M_alt 'C 1 2/m 1'
_space_group_IT_number 12
_cell_length_a 14.0152
_cell_length_b 3.5651
_cell_length_c 8.7746
_cell_angle_alpha 90.00
_cell_angle_beta 108.16
_cell_angle_gamma 90.00
loop_
_space_group_symop_operation_xyz
'x,y,z'
'-x,-y,-z'
'-x,y,-z'
'x,-y,z'
'x+1/2,y+1/2,z'
'-x+1/2,-y+1/2,-z'
'-x+1/2,y+1/2,-z'
'x+1/2,-y+1/2,z'
loop_
_atom_site_label
_atom_site_type_symbol
_atom_site_fract_x
_atom_site_fract_y
_atom_site_fract_z
Ni1 Ni 0.1694 0.0000 0.3401
Pt1 Pt 0.0000 0.5000 0.0000
Cl1 Cl 0.0480 0.5000 0.3074
Cl2 Cl 0.1333 0.0000 0.0524
Cl3 Cl 0.2092 0.0000 0.6256
# DFT total energy	-3.576	eV/atom
# formation energy without anion corrections	-389	meV per atom

---

Record 9
# PBE Ni2PtCl, relaxed
data_Ni2PtCl
_chemical_formula_sum 'Ni4 Pt2 Cl2'
_space_group_name_H-M_alt 'C m m m'
_space_group_IT_number 65
_space_group_name_Hall '-C 2 2'
_cell_length_a 2.8269
_cell_length_b 4.9974
_cell_length_c 8.0403
_cell_angle_alpha 90.00
_cell_angle_beta 90.00
_cell_angle_gamma 90.00
loop_
_atom_site_label
_atom_site_type_symbol
_atom_site_fract_x
_atom_site_fract_y
_atom_site_fract_z
Ni1 Ni 0.0000 0.0000 0.2353
Pt1 Pt 0.0000 0.5000 0.5000
Cl1 Cl 0.0000 0.5000 0.0000
# energy above the most stable polymorph in this dataset	223.9	meV per atom
# DFT total energy	-4.591	eV/atom
# formation energy without anion corrections	272	meV per atom

---

Record 10
# PBE NiPt3Cl, relaxed
data_NiPt3Cl
_chemical_formula_sum 'Ni1 Pt3 Cl1'
_space_group_name_H-M_alt 'P m -3 m'
_space_group_IT_number 221
_space_group_name_Hall '-P 4 2 3'
_cell_length_a 4.6289
_cell_length_b 4.6289
_cell_length_c 4.6289
_cell_angle_alpha 90.00
_cell_angle_beta 90.00
_cell_angle_gamma 90.00
loop_
_atom_site_label
_atom_site_type_symbol
_atom_site_fract_x
_atom_site_fract_y
_atom_site_fract_z
Ni1 Ni 0.0000 0.0000 0.0000
Pt1 Pt 0.0000 0.0000 0.5000
Cl1 Cl 0.5000 0.5000 0.5000
# energy above the most stable polymorph in this dataset	0.0	meV per atom
# DFT total energy	-3.975	eV/atom
# formation energy without anion corrections	1176	meV per atom

---

Record 11
# PBE Ni2PtCl, relaxed
data_Ni2PtCl
_chemical_formula_sum 'Ni8 Pt4 Cl4'
_space_group_name_H-M_alt 'F -4 3 m'
_space_group_IT_number 216
_space_group_name_Hall 'F -4 2 3'
_cell_length_a 6.1039
_cell_length_b 6.1039
_cell_length_c 6.1039
_cell_angle_alpha 90.00
_cell_angle_beta 90.00
_cell_angle_gamma 90.00
loop_
_atom_site_label
_atom_site_type_symbol
_atom_site_fract_x
_atom_site_fract_y
_atom_site_fract_z
Ni1 Ni 0.0000 0.0000 0.0000
Ni2 Ni 0.2500 0.2500 0.2500
Pt1 Pt 0.2500 0.2500 0.7500
Cl1 Cl 0.0000 0.0000 0.5000
# energy above the most stable polymorph in this dataset	580.5	meV per atom
# DFT total energy	-4.234	eV/atom
# formation energy without anion corrections	629	meV per atom

---

Record 12
# PBE NiPt2Cl, relaxed
data_NiPt2Cl
_chemical_formula_sum 'Ni3 Pt6 Cl3'
_space_group_name_H-M_alt 'R -3 m'
_space_group_IT_number 166
_space_group_name_Hall '-R 3 2"'
_cell_length_a 2.9815
_cell_length_b 2.9815
_cell_length_c 24.0486
_cell_angle_alpha 90.00
_cell_angle_beta 90.00
_cell_angle_gamma 120.00
loop_
_atom_site_label
_atom_site_type_symbol
_atom_site_fract_x
_atom_site_fract_y
_atom_site_fract_z
Ni1 Ni 0.0000 0.0000 0.0000
Pt1 Pt 0.0000 0.0000 0.2574
Cl1 Cl 0.0000 0.0000 0.5000
# energy above the most stable polymorph in this dataset	135.4	meV per atom
# DFT total energy	-4.647	eV/atom
# formation energy without anion corrections	281	meV per atom